Density functional theory data (PBE with a Hubbard U) for an optimized crystal structure of Li3Mn3P4O16.

```
Li3Mn3P4O16
1.0
-2.254 -8.587 -4.494
4.390 -8.466 -2.843
-2.150 -4.454 8.979
O P Mn Li
32 8 6 6
Cartesian
-1.661 -13.279 -1.193
-0.033 -15.404 -0.054
-0.971 -11.387 -4.878
-0.703 -16.629 2.476
-0.964 -13.830 3.580
2.458 -13.532 0.732
-0.746 -10.984 4.748
-1.056 -8.331 6.186
-0.109 -8.765 0.149
1.661 -13.165 -4.390
0.727 -11.592 -0.757
1.110 -14.388 -1.830
-2.269 -14.439 1.478
0.333 -7.689 -2.090
-0.387 -7.105 3.656
2.722 -6.001 -1.654
-2.561 -12.181 2.449
-2.498 -8.304 1.805
2.885 -12.137 -1.998
-0.344 -12.750 1.385
-3.548 -10.203 5.400
-1.550 -9.401 -1.825
1.179 -9.295 4.654
1.408 -15.430 4.327
-0.050 -4.892 -1.017
-1.824 -7.143 -0.849
2.032 -7.893 2.030
2.611 -9.879 -1.022
1.472 -11.553 3.683
-0.126 -9.904 2.553
-0.600 -6.115 1.542
1.170 -10.515 -2.996
-1.553 -13.281 2.238
0.709 -15.913 -1.404
0.464 -10.453 3.894
1.857 -11.011 -1.671
0.352 -3.368 -1.443
-0.797 -8.269 -1.176
-0.495 -18.142 3.054
-0.595 -5.592 3.079
0.340 -13.442 -0.279
1.369 -11.215 -4.780
0.582 -7.573 5.313
-0.308 -8.065 1.933
2.725 -13.873 -2.845
-1.430 -10.293 6.411
3.062 -8.500 0.237
1.250 -8.523 -3.623
2.507 -12.905 2.794
-0.191 -10.757 0.776
-2.002 -10.781 -3.084
-3.597 -10.829 3.338
```

## Properties
The excess energy over the best structure of this formula in the dataset is 0.0630 eV per atom.